# 1
BaN2Cl2 after structural relaxation. Source: Alexandria, functional PBE-GGA.

Unit cell a=9.280 b=9.280 c=5.038 alpha=74.46 beta=74.46 gamma=118.50
Each line ends with the local moment (μB).
Sites, in units of the cell vectors:
N  0.881  0.881  0.864  1.90
N  0.622  0.622  0.633  1.93
N  0.119  0.119  0.136  1.90
N  0.378  0.378  0.367  1.93
Cl  0.607  0.937  0.226  0.07
Cl  0.063  0.393  0.774  0.07
Cl  0.937  0.607  0.226  0.07
Cl  0.393  0.063  0.774  0.07
Ba  0.802  0.198  0.500  0.01
Ba  0.198  0.802  0.500  0.01

Summary:
energy relative to the elements, uncorrected: 0.630 eV per atom
calculated volume: 32.48 Å³/atom
energy: -0.281 Ry/atom

***

# 2
Ba2N4Cl5 after structural relaxation. Source: Alexandria, functional PBE-GGA.

Unit cell a=9.911 b=9.848 c=5.551 alpha=104.29 beta=104.20 gamma=41.47
Each line ends with the local moment (μB).
Sites, in units of the cell vectors:
Cl  0.049  0.586  0.808  0.17
Cl  0.951  0.414  0.192  0.17
Cl  0.581  0.055  0.809  0.17
Cl  0.000  0.000  0.500  0.15
Cl  0.419  0.945  0.191  0.17
Ba  0.827  0.832  0.319  0.00
Ba  0.173  0.168  0.681  0.00
N  0.691  0.523  0.628  0.00
N  0.469  0.320  0.373  0.00
N  0.309  0.477  0.372  0.00
N  0.531  0.680  0.627  0.00

Summary:
energy relative to the elements, uncorrected: -1.254 eV per atom
calculated volume: 31.46 Å³/atom
energy: -0.402 Ry/atom